Record 1
A relaxed SrMo2 crystal, computed with PBE-GGA.

Lattice parameters (Å, degrees): 6.8355 6.8355 5.1776 90.00 90.00 120.00
Space group P-62m (No. 189)
Inequivalent atoms, fractional coordinates:
1 Sr 0.0000 0.0000 0.0000 (multiplicity 1)
2 Sr 0.3333 0.6667 0.5000 (multiplicity 2)
3 Mo 0.0000 0.2070 0.5000 (multiplicity 3)
4 Mo 0.0000 0.4867 0.0000 (multiplicity 3)

## Properties
Density of states at the Fermi level ... 10.500 states/eV per cell
E_tot ... -6.09 eV per atom
Polymorph energy (0 for the lowest one) ... 1037 meV per atom
DFT formation energy ... 1.691 eV per atom

=====

Record 2
A relaxed SrMo crystal, computed with PBE-GGA.

Lattice parameters (Å, degrees): 3.1121 3.1121 5.5577 90.00 90.00 120.00
Space group P-6m2 (No. 187)
Inequivalent atoms, fractional coordinates:
1 Sr 0.0000 0.0000 0.0000 (multiplicity 1)
2 Mo 0.3333 0.6667 0.5000 (multiplicity 1)

## Properties
Density of states at the Fermi level ... 2.255 states/eV per cell
E_tot ... -4.84 eV per atom
Polymorph energy (0 for the lowest one) ... 987 meV per atom
DFT formation energy ... 1.418 eV per atom

=====

Record 3
A relaxed SrMo crystal, computed with PBE-GGA.

Lattice parameters (Å, degrees): 12.350 3.541 5.829 90.00 118.09 90.00
Space group C2/m (No. 12)
Inequivalent atoms, fractional coordinates:
1 Sr 0.101 0.000 0.351 (multiplicity 4)
2 Mo 0.177 0.500 0.927 (multiplicity 4)

## Properties
Density of states at the Fermi level ... 4.112 states/eV per cell
E_tot ... -5.59 eV per atom
Polymorph energy (0 for the lowest one) ... 234 meV per atom
DFT formation energy ... 0.665 eV per atom

=====

Record 4
A relaxed SrMo3 crystal, computed with PBE-GGA.

Lattice parameters (Å, degrees): 3.196 3.196 8.034 90.00 90.00 90.00
Space group P4/mmm (No. 123)
Inequivalent atoms, fractional coordinates:
1 Sr 0.000 0.000 0.000 (multiplicity 1)
2 Mo 0.000 0.000 0.500 (multiplicity 1)
3 Mo 0.500 0.500 0.319 (multiplicity 2)

## Properties
Density of states at the Fermi level ... 7.000 states/eV per cell
E_tot ... -7.86 eV per atom
Polymorph energy (0 for the lowest one) ... 2 meV per atom
DFT formation energy ... 0.687 eV per atom